(1)
Compound: Ac2ErS4
Source: Alexandria
Functional: PBE
Structure: relaxed

```
Ac2ErS4
1.0
-0.238 6.026 3.628
-7.731 0.054 -0.596
-1.015 -7.560 12.491
S Ac Er
16 8 4
Direct
0.383 0.540 0.677 S
0.687 0.300 0.040 S
0.883 0.540 0.823 S
0.117 0.040 0.677 S
0.813 0.700 0.540 S
0.617 0.460 0.323 S
0.117 0.460 0.177 S
0.313 0.700 0.960 S
0.383 0.960 0.177 S
0.313 0.800 0.460 S
0.187 0.300 0.460 S
0.883 0.960 0.323 S
0.187 0.200 0.960 S
0.687 0.200 0.540 S
0.813 0.800 0.040 S
0.617 0.040 0.823 S
0.002 0.903 0.859 Ac
0.498 0.403 0.859 Ac
0.502 0.597 0.141 Ac
0.002 0.597 0.359 Ac
0.498 0.097 0.359 Ac
0.998 0.097 0.141 Ac
0.502 0.903 0.641 Ac
0.998 0.403 0.641 Ac
0.500 0.000 0.000 Er
0.500 0.500 0.500 Er
0.000 0.000 0.500 Er
0.000 0.500 0.000 Er
```

Crystal system: orthorhombic
ΔE_f (raw) in eV per formula unit: -14.246
Distance to the lowest polymorph of the same formula in meV/atom: 28
D(E_F) in states/eV/cell: 14.33
M_tot in μB per atom: 0.000


(2)
Compound: Ac2ErS4
Source: Alexandria
Functional: PBE
Structure: relaxed

```
Ac2ErS4
1.0
4.003 0.000 0.000
0.000 8.209 -0.541
-2.002 -4.609 5.956
S Ac Er
4 2 1
Direct
0.340 0.754 0.680 S
0.057 0.751 0.115 S
0.943 0.249 0.885 S
0.660 0.246 0.320 S
0.652 0.605 0.304 Ac
0.348 0.395 0.696 Ac
0.000 0.000 0.000 Er
```

Crystal system: monoclinic
ΔE_f (raw) in eV per formula unit: -14.439
Distance to the lowest polymorph of the same formula in meV/atom: 0
D(E_F) in states/eV/cell: 0.66
M_tot in μB per atom: 0.000


(3)
Compound: AcEr2S
Source: Alexandria
Functional: PBE
Structure: relaxed

```
AcEr2S
1.0
3.711 0.000 0.000
1.856 3.214 0.000
1.856 1.071 10.391
S Ac Er
1 1 2
Direct
0.500 0.500 0.500 S
0.000 0.000 0.000 Ac
0.115 0.115 0.654 Er
0.885 0.885 0.346 Er
```

Crystal system: trigonal
ΔE_f (raw) in eV per formula unit: -3.060
D(E_F) in states/eV/cell: 3.59
M_tot in μB per atom: 0.000


(4)
Compound: Ac5ErS6
Source: Alexandria
Functional: PBE
Structure: relaxed

```
Ac5ErS6
1.0
7.263 0.187 1.109
1.797 6.140 3.582
0.129 0.059 7.339
S Ac Er
6 5 1
Direct
0.758 0.768 0.000 S
0.766 0.391 0.686 S
0.234 0.609 0.314 S
0.234 0.923 0.686 S
0.242 0.232 0.000 S
0.766 0.077 0.314 S
0.500 0.172 0.655 Ac
0.000 0.666 0.668 Ac
0.500 0.828 0.345 Ac
0.000 0.334 0.332 Ac
0.500 0.500 0.000 Ac
0.000 0.000 0.000 Er
```

Crystal system: monoclinic
ΔE_f (raw) in eV per formula unit: -23.689
D(E_F) in states/eV/cell: 5.44
M_tot in μB per atom: 0.000